1.
# BiSbO2F PBE relaxed
data_BiSbO2F
_symmetry_space_group_name_H-M 'P 4/m m m'
_symmetry_Int_Tables_number 123
_symmetry_space_group_name_Hall '-P 4 2'
_cell_length_a 4.3487
_cell_length_b 4.3487
_cell_length_c 4.4142
_cell_angle_alpha 90.00
_cell_angle_beta 90.00
_cell_angle_gamma 90.00
loop_
_atom_site_label
_atom_site_type_symbol
_atom_site_fract_x
_atom_site_fract_y
_atom_site_fract_z
_atom_site_occupancy
Bi1 Bi 0.0000 0.0000 0.0000 1
Sb1 Sb 0.5000 0.5000 0.5000 1
O1 O 0.0000 0.5000 0.5000 1
F1 F 0.5000 0.5000 0.0000 1
# N(E_F): 2.6 states/eV per cell
# uncorrected formation energy: -854 meV/atom
# mass density: 7.593 g cm⁻³
# volume: 83.5 Å³/f.u.
# electronic total energy: -0.177 hartree per atom

2.
# ScBiOF2 PBE relaxed
data_ScBiOF2
_symmetry_space_group_name_H-M 'P 4/m m m'
_symmetry_Int_Tables_number 123
_symmetry_space_group_name_Hall '-P 4 2'
_cell_length_a 4.2949
_cell_length_b 4.2949
_cell_length_c 4.1320
_cell_angle_alpha 90.00
_cell_angle_beta 90.00
_cell_angle_gamma 90.00
loop_
_atom_site_label
_atom_site_type_symbol
_atom_site_fract_x
_atom_site_fract_y
_atom_site_fract_z
_atom_site_occupancy
Sc1 Sc 0.0000 0.0000 0.0000 1
Bi1 Bi 0.5000 0.5000 0.5000 1
O1 O 0.0000 0.0000 0.5000 1
F1 F 0.0000 0.5000 0.0000 1
# N(E_F): 2.2 states/eV per cell
# uncorrected formation energy: -2326 meV/atom
# mass density: 6.709 g cm⁻³
# distance to the lowest polymorph of the same formula: 0 meV per atom
# volume: 76.2 Å³/f.u.
# electronic total energy: -0.224 hartree per atom

3.
# ScBiO2F PBE relaxed
data_ScBiO2F
_symmetry_space_group_name_H-M 'P 4/m m m'
_symmetry_Int_Tables_number 123
_symmetry_space_group_name_Hall '-P 4 2'
_cell_length_a 4.5123
_cell_length_b 4.5123
_cell_length_c 4.4555
_cell_angle_alpha 90.00
_cell_angle_beta 90.00
_cell_angle_gamma 90.00
loop_
_atom_site_label
_atom_site_type_symbol
_atom_site_fract_x
_atom_site_fract_y
_atom_site_fract_z
_atom_site_occupancy
Sc1 Sc 0.0000 0.0000 0.0000 1
Bi1 Bi 0.5000 0.5000 0.5000 1
O1 O 0.0000 0.5000 0.5000 1
F1 F 0.5000 0.5000 0.0000 1
# N(E_F): 4.8 states/eV per cell
# uncorrected formation energy: -1132 meV/atom
# mass density: 5.582 g cm⁻³
# volume: 90.7 Å³/f.u.
# electronic total energy: -0.203 hartree per atom

4.
# ScBiO2F PBE relaxed
data_ScBiO2F
_symmetry_space_group_name_H-M 'P 4/m m m'
_symmetry_Int_Tables_number 123
_symmetry_space_group_name_Hall '-P 4 2'
_cell_length_a 4.1756
_cell_length_b 4.1756
_cell_length_c 4.0896
_cell_angle_alpha 90.00
_cell_angle_beta 90.00
_cell_angle_gamma 90.00
loop_
_atom_site_label
_atom_site_type_symbol
_atom_site_fract_x
_atom_site_fract_y
_atom_site_fract_z
_atom_site_occupancy
Sc1 Sc 0.0000 0.0000 0.0000 1
Bi1 Bi 0.5000 0.5000 0.5000 1
O1 O 0.0000 0.5000 0.0000 1
F1 F 0.0000 0.0000 0.5000 1
# N(E_F): 1.3 states/eV per cell
# uncorrected formation energy: -2230 meV/atom
# mass density: 7.101 g cm⁻³
# volume: 71.3 Å³/f.u.
# electronic total energy: -0.244 hartree per atom

5.
# ScBiOF2 PBE relaxed
data_ScBiOF2
_symmetry_space_group_name_H-M 'P 4/m m m'
_symmetry_Int_Tables_number 123
_symmetry_space_group_name_Hall '-P 4 2'
_cell_length_a 4.6303
_cell_length_b 4.6303
_cell_length_c 4.5403
_cell_angle_alpha 90.00
_cell_angle_beta 90.00
_cell_angle_gamma 90.00
loop_
_atom_site_label
_atom_site_type_symbol
_atom_site_fract_x
_atom_site_fract_y
_atom_site_fract_z
_atom_site_occupancy
Sc1 Sc 0.0000 0.0000 0.0000 1
Bi1 Bi 0.5000 0.5000 0.5000 1
O1 O 0.5000 0.5000 0.0000 1
F1 F 0.0000 0.5000 0.5000 1
# N(E_F): 4.1 states/eV per cell
# uncorrected formation energy: -1243 meV/atom
# mass density: 5.253 g cm⁻³
# distance to the lowest polymorph of the same formula: 1082 meV per atom
# volume: 97.3 Å³/f.u.
# electronic total energy: -0.185 hartree per atom

6.
# Bi2SeOF2 PBE relaxed
data_Bi2SeOF2
_symmetry_space_group_name_H-M 'P m c 21'
_symmetry_Int_Tables_number 26
_cell_length_a 4.0317
_cell_length_b 6.8471
_cell_length_c 8.4028
_cell_angle_alpha 90.00
_cell_angle_beta 90.00
_cell_angle_gamma 90.00
loop_
_symmetry_equiv_pos_as_xyz
'x,y,z'
'-x,-y,z+1/2'
'-x,y,z'
'x,-y,z+1/2'
loop_
_atom_site_label
_atom_site_type_symbol
_atom_site_fract_x
_atom_site_fract_y
_atom_site_fract_z
_atom_site_occupancy
Bi1 Bi 0.0000 0.0871 0.0000 1
Bi2 Bi 0.5000 0.3853 0.6979 1
Se1 Se 0.5000 0.1892 0.4020 1
O1 O 0.0000 0.1960 0.7560 1
F1 F 0.0000 0.4453 0.1194 1
F2 F 0.5000 0.2838 0.9775 1
# N(E_F): 0.0 states/eV per cell
# uncorrected formation energy: -1497 meV/atom
# mass density: 7.887 g cm⁻³
# volume: 116.0 Å³/f.u.
# electronic total energy: -0.177 hartree per atom

7.
# BiSeOF2 PBE relaxed
data_BiSeOF2
_symmetry_space_group_name_H-M 'P 4/m m m'
_symmetry_Int_Tables_number 123
_symmetry_space_group_name_Hall '-P 4 2'
_cell_length_a 4.6264
_cell_length_b 4.6264
_cell_length_c 4.4443
_cell_angle_alpha 90.00
_cell_angle_beta 90.00
_cell_angle_gamma 90.00
loop_
_atom_site_label
_atom_site_type_symbol
_atom_site_fract_x
_atom_site_fract_y
_atom_site_fract_z
_atom_site_occupancy
Bi1 Bi 0.0000 0.0000 0.0000 1
Se1 Se 0.5000 0.5000 0.5000 1
O1 O 0.0000 0.0000 0.5000 1
F1 F 0.0000 0.5000 0.0000 1
# N(E_F): 2.4 states/eV per cell
# uncorrected formation energy: -918 meV/atom
# mass density: 5.969 g cm⁻³
# distance to the lowest polymorph of the same formula: 0 meV per atom
# volume: 95.1 Å³/f.u.
# electronic total energy: -0.152 hartree per atom

8.
# BiSeOF2 PBE relaxed
data_BiSeOF2
_symmetry_space_group_name_H-M 'P 4/m m m'
_symmetry_Int_Tables_number 123
_symmetry_space_group_name_Hall '-P 4 2'
_cell_length_a 4.8697
_cell_length_b 4.8697
_cell_length_c 3.6900
_cell_angle_alpha 90.00
_cell_angle_beta 90.00
_cell_angle_gamma 90.00
loop_
_atom_site_label
_atom_site_type_symbol
_atom_site_fract_x
_atom_site_fract_y
_atom_site_fract_z
_atom_site_occupancy
Bi1 Bi 0.0000 0.0000 0.0000 1
Se1 Se 0.5000 0.5000 0.5000 1
O1 O 0.5000 0.5000 0.0000 1
F1 F 0.0000 0.5000 0.5000 1
# N(E_F): 3.1 states/eV per cell
# uncorrected formation energy: -544 meV/atom
# mass density: 6.489 g cm⁻³
# distance to the lowest polymorph of the same formula: 374 meV per atom
# volume: 87.5 Å³/f.u.
# electronic total energy: -0.138 hartree per atom